(1)
## Pr2Sm5YHo (GGA-PBE)

Data for crystalline Pr2Sm5YHo at its relaxed geometry.

Values from the calculation:
Raw total energy (Ry per atom): -0.34121
E_form (eV per atom): 0.268
Theoretical density (g cm⁻³): 6.94

abc: 8.6563 8.6563 10.2490
angles: 114.98 114.98 90.00
Closest atoms and distances in Å follow each position.
Sites, in units of the cell vectors:
Sm 0.5741 0.6403 0.7143  1 Pr 3.08, 1 Y 3.19
Sm 0.8597 0.9259 0.2857  1 Pr 3.08, 1 Y 3.19
Ho 0.2500 0.2500 0.5000  8 Sm 3.55
Sm 0.0000 0.0000 0.0000  4 Pr 3.45
Sm 0.9259 0.4259 0.2857  1 Pr 3.08, 1 Y 3.19
Sm 0.4259 0.3597 0.2857  1 Pr 3.08, 1 Y 3.19
Y 0.2500 0.7500 0.5000  4 Sm 3.19
Ho 0.7500 0.7500 0.5000  8 Sm 3.55
Sm 0.6403 0.1403 0.7143  1 Pr 3.08, 1 Y 3.19
Sm 0.3597 0.8597 0.2857  1 Pr 3.08, 1 Y 3.19
Pr 0.8793 0.6207 0.0000  1 Pr 2.96, 2 Sm 3.08
Pr 0.6207 0.1207 0.0000  1 Pr 2.96, 2 Sm 3.08
Y 0.7500 0.2500 0.5000  4 Sm 3.19
Pr 0.3793 0.8793 0.0000  1 Pr 2.96, 2 Sm 3.08
Sm 0.0741 0.5741 0.7143  1 Pr 3.08, 1 Y 3.19
Sm 0.1403 0.0741 0.7143  1 Pr 3.08, 1 Y 3.19
Sm 0.5000 0.5000 0.0000  4 Pr 3.45
Pr 0.1207 0.3793 0.0000  1 Pr 2.96, 2 Sm 3.08

(2)
## Pr2SmY3Ho6 (GGA-PBE)

Data for crystalline Pr2SmY3Ho6 at its relaxed geometry.

Values from the calculation:
Raw total energy (Ry per atom): -0.37292
E_form (eV per atom): 0.021
Theoretical density (g cm⁻³): 7.23

abc: 6.2010 6.2010 11.8292
angles: 95.00 95.00 119.96
Closest atoms and distances in Å follow each position.
Sites, in units of the cell vectors:
Ho 0.0848 0.4177 0.2527  3 Y 3.54-3.55, 6 Ho 3.57-3.58, 2 Pr 3.60, 1 Sm 3.60
Ho 0.9152 0.5823 0.7473  3 Y 3.54-3.55, 6 Ho 3.57-3.58, 2 Pr 3.60, 1 Sm 3.60
Pr 0.3334 0.6666 0.0000  3 Pr 3.58, 3 Sm 3.58, 6 Ho 3.60
Pr 0.6666 0.3334 0.0000  3 Pr 3.58, 3 Sm 3.58, 6 Ho 3.60
Y 0.5000 0.5000 0.5000  6 Ho 3.54-3.55, 6 Y 3.58
Ho 0.5823 0.9152 0.7473  3 Y 3.54-3.55, 6 Ho 3.57-3.58, 2 Pr 3.60, 1 Sm 3.60
Ho 0.2479 0.2479 0.7472  3 Y 3.54-3.55, 6 Ho 3.58, 1 Sm 3.59, 2 Pr 3.60
Sm 0.0000 0.0000 0.0000  6 Pr 3.58, 6 Ho 3.59-3.60
Y 0.1666 0.8334 0.5000  6 Ho 3.54-3.55, 6 Y 3.58
Ho 0.7521 0.7521 0.2528  3 Y 3.54-3.55, 6 Ho 3.58, 1 Sm 3.59, 2 Pr 3.60
Ho 0.4177 0.0848 0.2527  3 Y 3.54-3.55, 6 Ho 3.57-3.58, 2 Pr 3.60, 1 Sm 3.60
Y 0.8334 0.1666 0.5000  6 Ho 3.54-3.55, 6 Y 3.58

(3)
## PrSm2Y5Ho (GGA-PBE)

Data for crystalline PrSm2Y5Ho at its relaxed geometry.

Values from the calculation:
Raw total energy (Ry per atom): -0.39869
E_form (eV per atom): 0.255
Theoretical density (g cm⁻³): 5.84

abc: 8.8229 8.8229 9.8913
angles: 116.49 116.49 90.00
Closest atoms and distances in Å follow each position.
Sites, in units of the cell vectors:
Y 0.8434 0.9277 0.2711  1 Sm 3.03, 1 Ho 3.13
Pr 0.2500 0.2500 0.5000  10 Y 3.62-3.84
Y 0.6566 0.1566 0.7289  1 Sm 3.03, 1 Ho 3.13
Sm 0.1154 0.3846 0.0000  1 Sm 2.88, 2 Y 3.03
Pr 0.7500 0.7500 0.5000  10 Y 3.62-3.84
Y 0.1566 0.0723 0.7289  1 Sm 3.03, 1 Ho 3.13
Y 0.0723 0.5723 0.7289  1 Sm 3.03, 1 Ho 3.13
Y 0.3434 0.8434 0.2711  1 Sm 3.03, 1 Ho 3.13
Y 0.4277 0.3434 0.2711  1 Sm 3.03, 1 Ho 3.13
Ho 0.7500 0.2500 0.5000  4 Y 3.13
Y 0.5723 0.6566 0.7289  1 Sm 3.03, 1 Ho 3.13
Y 0.9277 0.4277 0.2711  1 Sm 3.03, 1 Ho 3.13
Y 0.0000 0.0000 0.0000  4 Sm 3.54, 8 Y 3.79, 2 Pr 3.84
Sm 0.3846 0.8846 0.0000  1 Sm 2.88, 2 Y 3.03
Ho 0.2500 0.7500 0.5000  4 Y 3.13
Sm 0.6154 0.1154 0.0000  1 Sm 2.88, 2 Y 3.03
Sm 0.8846 0.6154 0.0000  1 Sm 2.88, 2 Y 3.03
Y 0.5000 0.5000 0.0000  4 Sm 3.54, 8 Y 3.79, 2 Pr 3.84

(4)
## Pr2SmY2Ho2 (GGA-PBE)

Data for crystalline Pr2SmY2Ho2 at its relaxed geometry.

Values from the calculation:
Raw total energy (Ry per atom): -0.37103
E_form (eV per atom): 0.146
Theoretical density (g cm⁻³): 6.53

abc: 3.5151 9.3103 8.5367
angles: 118.83 90.00 100.88
Closest atoms and distances in Å follow each position.
Sites, in units of the cell vectors:
Ho 0.7884 0.5768 0.3772  1 Sm 3.48, 3 Y 3.51-3.55, 4 Ho 3.51-3.52, 3 Pr 3.53-3.64
Y 0.5704 0.1408 0.2357  3 Ho 3.51-3.55, 3 Y 3.52-3.56, 2 Pr 3.55-3.69, 2 Sm 3.56
Y 0.4296 0.8592 0.7643  3 Ho 3.51-3.55, 3 Y 3.52-3.56, 2 Pr 3.55-3.69, 2 Sm 3.56
Pr 0.3521 0.7042 0.0901  4 Pr 3.52-3.71, 3 Ho 3.53-3.64, 2 Y 3.55-3.69, 2 Sm 3.65
Pr 0.6479 0.2958 0.9099  4 Pr 3.52-3.71, 3 Ho 3.53-3.64, 2 Y 3.55-3.69, 2 Sm 3.65
Sm 0.0000 0.0000 0.5000  2 Ho 3.48, 2 Sm 3.52, 4 Y 3.56, 4 Pr 3.65
Ho 0.2116 0.4232 0.6228  1 Sm 3.48, 3 Y 3.51-3.55, 4 Ho 3.51-3.52, 3 Pr 3.53-3.64

(5)
## PrSm2Y6Ho3 (GGA-PBE)

Data for crystalline PrSm2Y6Ho3 at its relaxed geometry.

Values from the calculation:
Raw total energy (Ry per atom): -0.40731
E_form (eV per atom): 0.020
Theoretical density (g cm⁻³): 6.27

abc: 6.2052 6.2052 11.8437
angles: 94.99 94.99 119.95
Closest atoms and distances in Å follow each position.
Sites, in units of the cell vectors:
Y 0.0850 0.4188 0.2533  3 Ho 3.54-3.55, 6 Y 3.58-3.59, 2 Sm 3.60-3.61, 1 Pr 3.61
Ho 0.5000 0.5000 0.5000  6 Y 3.54, 6 Ho 3.58-3.59
Sm 0.6666 0.3334 0.0000  3 Sm 3.58, 3 Pr 3.58, 6 Y 3.60-3.61
Pr 0.0000 0.0000 0.0000  6 Sm 3.58, 6 Y 3.61
Y 0.4188 0.0850 0.2533  3 Ho 3.54-3.55, 6 Y 3.58-3.59, 2 Sm 3.60-3.61, 1 Pr 3.61
Y 0.2487 0.2487 0.7467  3 Ho 3.54, 6 Y 3.58-3.59, 1 Pr 3.61, 2 Sm 3.61
Ho 0.1668 0.8332 0.5000  6 Y 3.54-3.55, 6 Ho 3.58-3.59
Y 0.9150 0.5812 0.7467  3 Ho 3.54-3.55, 6 Y 3.58-3.59, 2 Sm 3.60-3.61, 1 Pr 3.61
Y 0.7513 0.7513 0.2533  3 Ho 3.54, 6 Y 3.58-3.59, 1 Pr 3.61, 2 Sm 3.61
Y 0.5812 0.9150 0.7467  3 Ho 3.54-3.55, 6 Y 3.58-3.59, 2 Sm 3.60-3.61, 1 Pr 3.61
Sm 0.3334 0.6666 0.0000  3 Sm 3.58, 3 Pr 3.58, 6 Y 3.60-3.61
Ho 0.8332 0.1668 0.5000  6 Y 3.54-3.55, 6 Ho 3.58-3.59

(6)
## Pr2Sm2Y2Ho (GGA-PBE)

Data for crystalline Pr2Sm2Y2Ho at its relaxed geometry.

Values from the calculation:
Raw total energy (Ry per atom): -0.37399
E_form (eV per atom): 0.126
Theoretical density (g cm⁻³): 6.48

abc: 5.7587 5.7587 8.9056
angles: 71.14 71.14 60.00
Closest atoms and distances in Å follow each position.
Sites, in units of the cell vectors:
Y 0.5723 0.5723 0.2831  3 Pr 3.50, 4 Sm 3.52-3.53, 1 Y 3.58
Pr 0.1386 0.1386 0.5841  1 Ho 3.44, 3 Y 3.50, 3 Pr 3.60, 1 Sm 3.64
Ho 0.0000 0.0000 0.0000  2 Pr 3.44, 6 Sm 3.53
Sm 0.2854 0.2854 0.1438  4 Y 3.52-3.53, 3 Ho 3.53, 1 Pr 3.64
Pr 0.8614 0.8614 0.4159  1 Ho 3.44, 3 Y 3.50, 3 Pr 3.60, 1 Sm 3.64
Y 0.4277 0.4277 0.7169  3 Pr 3.50, 4 Sm 3.52-3.53, 1 Y 3.58
Sm 0.7146 0.7146 0.8562  4 Y 3.52-3.53, 3 Ho 3.53, 1 Pr 3.64

(7)
## Pr6SmY2Ho (GGA-PBE)

Data for crystalline Pr6SmY2Ho at its relaxed geometry.

Values from the calculation:
Raw total energy (Ry per atom): -0.36566
E_form (eV per atom): 0.115
Theoretical density (g cm⁻³): 6.35

abc: 9.6538 9.0363 9.0363
angles: 116.67 93.34 93.34
Closest atoms and distances in Å follow each position.
Sites, in units of the cell vectors:
Sm 0.7500 0.0330 0.9670  4 Y 3.44-3.54, 6 Pr 3.57-3.78
Pr 0.9423 0.8872 0.2363  7 Pr 3.52-3.81, 2 Y 3.56-3.93, 2 Sm 3.71-3.78
Y 0.9497 0.7038 0.7967  5 Pr 3.36-3.56, 2 Sm 3.44-3.54, 1 Ho 3.56
Pr 0.8842 0.2944 0.5197  4 Pr 3.29-3.67, 3 Y 3.36-3.55, 2 Ho 3.50-3.56
Pr 0.3124 0.9955 0.4391  2 Pr 3.31-3.71, 1 Ho 3.48, 1 Y 3.53, 1 Sm 3.57
Ho 0.7500 0.5885 0.4115  6 Pr 3.48-3.56, 2 Y 3.56
Y 0.0503 0.2962 0.2033  5 Pr 3.36-3.56, 2 Sm 3.44-3.54, 1 Ho 3.56
Pr 0.3842 0.5197 0.2944  4 Pr 3.29-3.67, 3 Y 3.36-3.55, 2 Ho 3.50-3.56
Pr 0.0577 0.1128 0.7637  7 Pr 3.52-3.81, 2 Y 3.56-3.93, 2 Sm 3.71-3.78
Pr 0.1158 0.7056 0.4803  4 Pr 3.29-3.67, 3 Y 3.36-3.55, 2 Ho 3.50-3.56
Pr 0.6876 0.0045 0.5609  2 Pr 3.31-3.71, 1 Ho 3.48, 1 Y 3.53, 1 Sm 3.57
Pr 0.8124 0.4391 0.9955  2 Pr 3.31-3.71, 1 Ho 3.48, 1 Y 3.53, 1 Sm 3.57
Pr 0.6158 0.4803 0.7056  4 Pr 3.29-3.67, 3 Y 3.36-3.55, 2 Ho 3.50-3.56
Y 0.4497 0.7967 0.7038  5 Pr 3.36-3.56, 2 Sm 3.44-3.54, 1 Ho 3.56
Ho 0.2500 0.4115 0.5885  6 Pr 3.48-3.56, 2 Y 3.56
Y 0.5503 0.2033 0.2962  5 Pr 3.36-3.56, 2 Sm 3.44-3.54, 1 Ho 3.56
Pr 0.1876 0.5609 0.0045  2 Pr 3.31-3.71, 1 Ho 3.48, 1 Y 3.53, 1 Sm 3.57
Sm 0.2500 0.9670 0.0330  4 Y 3.44-3.54, 6 Pr 3.57-3.78
Pr 0.4423 0.2363 0.8872  7 Pr 3.52-3.81, 2 Y 3.56-3.93, 2 Sm 3.71-3.78
Pr 0.5577 0.7637 0.1128  7 Pr 3.52-3.81, 2 Y 3.56-3.93, 2 Sm 3.71-3.78

(8)
## Pr2Sm2YHo (GGA-PBE)

Data for crystalline Pr2Sm2YHo at its relaxed geometry.

Values from the calculation:
Raw total energy (Ry per atom): -0.36388
E_form (eV per atom): 0.056
Theoretical density (g cm⁻³): 6.86

abc: 5.7238 7.1170 9.9328
angles: 90.00 90.00 90.00
Closest atoms and distances in Å follow each position.
Sites, in units of the cell vectors:
Ho 0.5000 0.7575 0.3404  5 Sm 3.25-3.56
Y 0.0000 0.5075 0.5000  2 Y 3.56, 2 Pr 3.68, 4 Ho 3.72, 6 Sm 3.76-3.79
Sm 0.5000 0.7576 0.6681  2 Pr 3.25, 3 Ho 3.25-3.56
Sm 0.5000 0.2576 0.3319  2 Pr 3.25, 3 Ho 3.25-3.56
Pr 0.5000 0.0076 0.0001  6 Pr 3.56-3.80, 6 Sm 3.74-3.75, 2 Ho 3.82
Y 0.0000 0.0075 0.5000  2 Y 3.56, 2 Pr 3.68, 4 Ho 3.72, 6 Sm 3.76-3.79
Sm 0.0000 0.2577 0.8367  2 Ho 3.36, 7 Pr 3.37-3.74
Pr 0.5000 0.5076 0.9999  6 Pr 3.56-3.80, 6 Sm 3.74-3.75, 2 Ho 3.82
Pr 0.0000 0.7577 0.8238  5 Sm 3.25-3.56
Ho 0.5000 0.2575 0.6596  5 Sm 3.25-3.56
Pr 0.0000 0.2577 0.1762  5 Sm 3.25-3.56
Sm 0.0000 0.7577 0.1633  2 Ho 3.36, 7 Pr 3.37-3.74

(9)
## PrSm3YHo (GGA-PBE)

Data for crystalline PrSm3YHo at its relaxed geometry.

Values from the calculation:
Raw total energy (Ry per atom): -0.35305
E_form (eV per atom): 0.193
Theoretical density (g cm⁻³): 6.70

abc: 5.5609 11.4777 6.8339
angles: 82.27 90.00 104.02
Closest atoms and distances in Å follow each position.
Sites, in units of the cell vectors:
Sm 0.1666 0.3331 0.7228  2 Y 3.28, 2 Pr 3.48, 1 Sm 3.60, 1 Ho 3.64
Sm 0.2257 0.4514 0.1872  1 Pr 3.31, 1 Ho 3.44, 3 Y 3.53-3.60, 1 Sm 3.60
Sm 0.5241 0.0481 0.7289  2 Pr 3.32-3.63, 1 Y 3.40, 2 Sm 3.44-3.71, 2 Ho 3.56
Sm 0.4759 0.9519 0.2711  2 Pr 3.32-3.63, 1 Y 3.40, 2 Sm 3.44-3.71, 2 Ho 3.56
Ho 0.0713 0.1425 0.3315  4 Sm 3.44-3.64, 2 Pr 3.63, 1 Ho 3.65, 2 Y 3.68
Sm 0.8334 0.6669 0.2772  2 Y 3.28, 2 Pr 3.48, 1 Sm 3.60, 1 Ho 3.64
Y 0.3343 0.6686 0.5322  1 Pr 3.24, 6 Sm 3.28-3.60
Ho 0.9287 0.8575 0.6685  4 Sm 3.44-3.64, 2 Pr 3.63, 1 Ho 3.65, 2 Y 3.68
Sm 0.7743 0.5486 0.8128  1 Pr 3.31, 1 Ho 3.44, 3 Y 3.53-3.60, 1 Sm 3.60
Y 0.6657 0.3314 0.4678  1 Pr 3.24, 6 Sm 3.28-3.60
Pr 0.3690 0.7380 0.9766  1 Y 3.24, 4 Sm 3.31-3.48
Pr 0.6310 0.2620 0.0234  1 Y 3.24, 4 Sm 3.31-3.48

(10)
## Pr2Sm2YHo2 (GGA-PBE)

Data for crystalline Pr2Sm2YHo2 at its relaxed geometry.

Values from the calculation:
Raw total energy (Ry per atom): -0.35721
E_form (eV per atom): 0.085
Theoretical density (g cm⁻³): 6.98

abc: 3.5545 6.1914 11.9523
angles: 71.81 90.00 106.68
Closest atoms and distances in Å follow each position.
Sites, in units of the cell vectors:
Pr 0.3271 0.6542 0.0858  5 Pr 3.55-3.94, 4 Ho 3.57-3.63, 2 Sm 3.63
Ho 0.4497 0.8994 0.7708  3 Sm 3.52-3.61, 2 Ho 3.55, 4 Pr 3.57-3.63, 2 Y 3.57
Sm 0.2255 0.4510 0.6372  3 Ho 3.52-3.61, 4 Sm 3.55-3.61, 3 Y 3.56-3.60, 2 Pr 3.63
Pr 0.6729 0.3458 0.9142  5 Pr 3.55-3.94, 4 Ho 3.57-3.63, 2 Sm 3.63
Ho 0.5503 0.1006 0.2292  3 Sm 3.52-3.61, 2 Ho 3.55, 4 Pr 3.57-3.63, 2 Y 3.57
Y 0.0000 0.0000 0.5000  2 Y 3.55, 6 Sm 3.56-3.60, 4 Ho 3.57
Sm 0.7745 0.5490 0.3628  3 Ho 3.52-3.61, 4 Sm 3.55-3.61, 3 Y 3.56-3.60, 2 Pr 3.63

(11)
## Pr6SmY2Ho3 (GGA-PBE)

Data for crystalline Pr6SmY2Ho3 at its relaxed geometry.

Values from the calculation:
Raw total energy (Ry per atom): -0.36709
E_form (eV per atom): 0.010
Theoretical density (g cm⁻³): 6.82

abc: 6.3227 6.3227 11.9245
angles: 95.05 95.05 120.00
Closest atoms and distances in Å follow each position.
Sites, in units of the cell vectors:
Pr 0.2489 0.2489 0.7480  3 Ho 3.59, 1 Sm 3.63, 2 Y 3.63, 6 Pr 3.65
Ho 0.8332 0.1668 0.5000  6 Pr 3.59, 6 Ho 3.65
Ho 0.5000 0.5000 0.5000  6 Pr 3.59, 6 Ho 3.65
Pr 0.9159 0.5829 0.7480  3 Ho 3.59, 2 Y 3.63, 1 Sm 3.63, 6 Pr 3.65
Pr 0.5829 0.9159 0.7480  3 Ho 3.59, 2 Y 3.63, 1 Sm 3.63, 6 Pr 3.65
Ho 0.1668 0.8332 0.5000  6 Pr 3.59, 6 Ho 3.65
Sm 0.0000 0.0000 0.0000  6 Pr 3.63, 6 Y 3.65
Pr 0.4171 0.0841 0.2520  3 Ho 3.59, 2 Y 3.63, 1 Sm 3.63, 6 Pr 3.65
Y 0.3335 0.6665 0.0000  6 Pr 3.63, 3 Y 3.65, 3 Sm 3.65
Y 0.6665 0.3335 0.0000  6 Pr 3.63, 3 Y 3.65, 3 Sm 3.65
Pr 0.7511 0.7511 0.2520  3 Ho 3.59, 1 Sm 3.63, 2 Y 3.63, 6 Pr 3.65
Pr 0.0841 0.4171 0.2520  3 Ho 3.59, 2 Y 3.63, 1 Sm 3.63, 6 Pr 3.65

(12)
## PrSm2YHo5 (GGA-PBE)

Data for crystalline PrSm2YHo5 at its relaxed geometry.

Values from the calculation:
Raw total energy (Ry per atom): -0.33613
E_form (eV per atom): 0.268
Theoretical density (g cm⁻³): 7.63

abc: 8.7967 8.7967 9.8365
angles: 116.56 116.56 90.00
Closest atoms and distances in Å follow each position.
Sites, in units of the cell vectors:
Ho 0.8442 0.9264 0.2706  1 Sm 3.01, 1 Y 3.13
Ho 0.3442 0.8442 0.2706  1 Sm 3.01, 1 Y 3.13
Ho 0.6558 0.1558 0.7294  1 Sm 3.01, 1 Y 3.13
Ho 0.9264 0.4264 0.2706  1 Sm 3.01, 1 Y 3.13
Ho 0.1558 0.0736 0.7294  1 Sm 3.01, 1 Y 3.13
Pr 0.2500 0.2500 0.5000  10 Ho 3.60-3.81
Ho 0.0000 0.0000 0.0000  4 Sm 3.53, 8 Ho 3.77, 2 Pr 3.81
Sm 0.8847 0.6153 0.0000  1 Sm 2.87, 2 Ho 3.01
Sm 0.1153 0.3847 0.0000  1 Sm 2.87, 2 Ho 3.01
Ho 0.0736 0.5736 0.7294  1 Sm 3.01, 1 Y 3.13
Y 0.7500 0.2500 0.5000  4 Ho 3.13
Ho 0.5000 0.5000 0.0000  4 Sm 3.53, 8 Ho 3.77, 2 Pr 3.81
Pr 0.7500 0.7500 0.5000  10 Ho 3.60-3.81
Sm 0.6153 0.1153 0.0000  1 Sm 2.87, 2 Ho 3.01
Ho 0.4264 0.3442 0.2706  1 Sm 3.01, 1 Y 3.13
Y 0.2500 0.7500 0.5000  4 Ho 3.13
Ho 0.5736 0.6558 0.7294  1 Sm 3.01, 1 Y 3.13
Sm 0.3847 0.8847 0.0000  1 Sm 2.87, 2 Ho 3.01

Q: Number 9 is which compound?
A: PrSm3YHo

Q: theoretical density of number 2 (Pr2SmY3Ho6)?
A: 7.23 g cm⁻³